Crystalline La3DySc at its relaxed geometry. Source: the Alexandria database, functional PBE-GGA.

It has space group C2/c (No. 15), with a = 15.3273 Å, b = 13.4458 Å, c = 6.5879 Å, α = 90.00°, β = 104.69° and γ = 90.00°. The asymmetric unit holds La at (0.0885, 0.1678, 0.4307), La at (0.1992, 0.3068, 0.1635), La at (0.2001, 0.4409, 0.6586), Dy at (0.0000, 0.3067, 0.7500), Dy at (0.0000, 0.4330, 0.2500) and Sc at (0.0985, 0.0728, 0.9266).

Its energy of formation from the pure elements is 0.08 eV per atom. As for the density of states at the Fermi level: 59.93 states/eV/cell. The calculation puts the total energy at -202.402 eV per cell.

=====

Crystalline DyEr12Tm7 at its relaxed geometry. Source: the Alexandria database, functional PBE-GGA.

It has space group R-3 (No. 148, hexagonal axes), with a = 18.3189 Å, b = 18.3189 Å, c = 6.5829 Å, α = 90.00°, β = 90.00° and γ = 120.00°. The asymmetric unit holds Dy at (0.0000, 0.0000, 0.0000), Er at (0.0008, 0.2118, 0.2804), Er at (0.0063, 0.5341, 0.7401), Tm at (0.0000, 0.0000, 0.5000) and Tm at (0.0085, 0.1563, 0.7789).

Its energy above the lowest structure with this stoichiometry is 32 meV/atom. Its energy of formation from the pure elements is 0.35 eV per atom. As for the density of states at the Fermi level: 86.22 states/eV/cell. The calculation puts the total energy at -251.126 eV per cell.